Here is an optimized crystal structure of La2TaGaN5 from Alexandria via LeMat-Bulk. Energies are from GGA-PBE.

```
data_La2TaGaN5
_chemical_formula_sum 'La8 Ta4 Ga4 N20'
_cell_length_a 3.3258
_cell_length_b 14.1212
_cell_length_c 10.5061
_cell_angle_alpha 90.00
_cell_angle_beta 90.00
_cell_angle_gamma 90.00
_symmetry_space_group_name_H-M 'C m c 21'
_symmetry_Int_Tables_number 36
loop_
_symmetry_equiv_pos_as_xyz
'x,y,z'
'-x,-y,z+1/2'
'-x,y,z'
'x,-y,z+1/2'
'x+1/2,y+1/2,z'
'-x+1/2,-y+1/2,z+1/2'
'-x+1/2,y+1/2,z'
'x+1/2,-y+1/2,z+1/2'
loop_
_atom_site_label
_atom_site_fract_x
_atom_site_fract_y
_atom_site_fract_z
La1 0.0000 0.1163 0.0000
La2 0.0000 0.1287 0.5847
Ta1 0.0000 0.2216 0.2978
Ga1 0.0000 0.4874 0.7698
N1 0.0000 0.0640 0.3318
N2 0.0000 0.2850 0.9327
N3 0.0000 0.2946 0.6714
N4 0.0000 0.3631 0.3002
N5 0.0000 0.4985 0.5828
```

Summary:
The total energy is -298.481 eV per cell. The volume comes out at 13.706 A^3/atom. As for the formation energy (no corrections): -0.92 eV per atom. Its crystal system is orthorhombic. The total moment is 0.80 μB per formula unit.